(1)
Material: Cs2AuI8
Method: DFT, PBE
State: optimized geometry

Cell and atoms, written as POSCAR:
```
Cs2AuI8
1.0
7.9056 -3.8184 0.0000
7.9056 3.8184 0.0000
-1.5112 0.0000 11.0157
Cs Au I
2 1 8
Cartesian
2.3133 0.0000 2.9170 Cs
11.9867 0.0000 8.0986 Cs
7.1500 0.0000 5.5078 Au
-0.2631 0.0000 10.1044 I
2.3602 0.0000 8.6456 I
4.4984 0.0000 6.4106 I
6.2174 0.0000 3.0349 I
8.0826 0.0000 7.9807 I
9.8016 0.0000 4.6051 I
11.9399 0.0000 2.3701 I
14.5631 0.0000 0.9113 I
```

Calculated values
**Formation energy from raw total energies**: -573 meV per atom
**Total energy**: -2.153 eV/atom
**D(E_F)**: 2.3 states/eV/f.u.

=====

(2)
Material: Cs4AuI
Method: DFT, PBE
State: optimized geometry

Cell and atoms, written as POSCAR:
```
Cs4AuI
1.0
5.2040 -9.6354 0.0000
5.2040 9.6354 0.0000
-5.1662 0.0000 9.6307
Cs Au I
8 2 2
Cartesian
-0.0570 4.9519 9.5001 Cs
0.1138 0.1368 4.6860 Cs
2.7157 4.9519 4.9460 Cs
-2.4693 -0.1368 9.5014 Cs
7.7111 0.1368 0.1293 Cs
2.5261 -4.9519 4.6847 Cs
5.1280 -0.1368 4.9447 Cs
5.2988 -4.9519 0.1306 Cs
1.3293 7.2330 7.2230 Au
3.9124 -7.2330 2.4077 Au
3.9124 2.4034 2.4077 I
1.3293 -2.4034 7.2230 I
```

Calculated values
**Formation energy from raw total energies**: -526 meV per atom
**Total energy**: -1.900 eV/atom
**D(E_F)**: 3.4 states/eV/f.u.

=====

(3)
Material: CsAuI3
Method: DFT, PBE
State: optimized geometry

Cell and atoms, written as POSCAR:
```
CsAuI3
1.0
6.3267 0.0000 0.0000
-3.1633 5.4790 0.0000
0.0000 0.0000 11.4542
Cs Au I
2 2 6
Cartesian
0.0000 3.6527 2.8636 Cs
3.1633 1.8263 8.5907 Cs
0.0000 0.0000 0.0000 Au
0.0000 0.0000 5.7271 Au
0.0000 0.0000 2.8636 I
0.0000 0.0000 8.5907 I
0.0000 3.6527 6.4365 I
0.0000 3.6527 10.7449 I
3.1633 1.8263 0.7094 I
3.1633 1.8263 5.0178 I
```

Calculated values
**Formation energy from raw total energies**: -312 meV per atom
**Total energy**: -2.069 eV/atom
**D(E_F)**: 4.6 states/eV/f.u.